Record 1
BaV2Pd | the Alexandria database | PBE | relaxed; DFT total energy = -44.8 eV per cell; offset from the most stable computed form = 0 meV/atom; total moment = 2.0 μB per formula unit; DFT formation energy = 0.744 eV/atom
1.0
-2.2659 2.2659 9.8098
2.2659 -2.2659 9.8098
2.2659 2.2659 -9.8098
Ba V Pd
2 4 2
direct
0.3750 0.6250 0.7500
0.6250 0.3750 0.2500
0.0000 0.0000 0.0000
0.0000 0.0000 0.5000
0.0000 0.5000 0.0000
0.5000 0.0000 0.5000
0.1250 0.8750 0.2500
0.8750 0.1250 0.7500

Record 2
ScRhSeBr2 | the Alexandria database | PBE | relaxed; DFT total energy = -21.4 eV per cell; raw formation energy = -169 meV/atom; offset from the most stable computed form = 47 meV/atom; total moment = 0.6 μB per formula unit
1.0
4.9526 0.0000 0.0000
0.0000 4.9526 0.0000
0.0000 0.0000 5.0452
Sc Rh Se Br
1 1 1 2
direct
0.0000 0.0000 0.0000
0.5000 0.5000 0.5000
0.5000 0.5000 0.0000
0.0000 0.5000 0.5000
0.5000 0.0000 0.5000

Record 3
Ba2CaI2O2 | the Alexandria database | PBE | relaxed; DFT total energy = -35.1 eV per cell; raw formation energy = -2316 meV/atom; total moment = 0.0 μB per formula unit
1.0
-2.3004 2.3004 9.7697
2.3004 -2.3004 9.7697
2.3004 2.3004 -9.7697
Ba Ca I O
2 1 2 2
direct
0.0887 0.0887 0.0000
0.9113 0.9113 0.0000
0.5000 0.5000 0.0000
0.3291 0.3291 0.0000
0.6709 0.6709 0.0000
0.0000 0.5000 0.5000
0.5000 0.0000 0.5000

Record 4
K2NaLiF4 | the Alexandria database | PBE | relaxed; DFT total energy = -68.7 eV per cell; raw formation energy = -2681 meV/atom; total moment = 0.2 μB per formula unit
1.0
4.9459 -4.8830 0.0000
4.9459 4.8830 0.0000
-4.9416 0.0000 4.9719
K Na Li F
4 2 2 8
direct
0.0000 0.0000 0.0000
0.0000 0.0000 0.5000
0.0000 0.5000 0.0000
0.5000 0.0000 0.5000
0.5000 0.5000 0.0000
0.5000 0.5000 0.5000
0.0000 0.5000 0.5000
0.5000 0.0000 0.0000
0.2462 0.2945 0.5201
0.2582 0.7369 0.5273
0.2631 0.7418 0.9727
0.2945 0.2462 0.0201
0.7055 0.7538 0.9799
0.7369 0.2582 0.0273
0.7418 0.2631 0.4727
0.7538 0.7055 0.4799

Record 5
SrSnAu3 | the Alexandria database | PBE | relaxed; DFT total energy = -12.9 eV per cell; offset from the most stable computed form = 1021 meV/atom; total moment = 0.0 μB per formula unit; DFT formation energy = 0.523 eV/atom
1.0
5.6130 0.0000 0.0000
0.0000 5.6130 0.0000
0.0000 0.0000 5.6130
Sr Sn Au
1 1 3
direct
0.0000 0.0000 0.0000
0.5000 0.5000 0.5000
0.0000 0.0000 0.5000
0.0000 0.5000 0.0000
0.5000 0.0000 0.0000

Record 6
TcNiHg2 | the Alexandria database | PBE | relaxed; DFT total energy = -14.4 eV per cell; offset from the most stable computed form = 259 meV/atom; total moment = 1.1 μB per formula unit; DFT formation energy = 0.587 eV/atom
1.0
4.7122 0.0000 0.0000
0.0000 4.7122 0.0000
0.0000 0.0000 3.0567
Tc Ni Hg
1 1 2
direct
0.0000 0.0000 0.0000
0.5000 0.5000 0.0000
0.0000 0.5000 0.5000
0.5000 0.0000 0.5000

Record 7
NpUH | the Alexandria database | PBE | relaxed; DFT total energy = -109.7 eV per cell; total moment = 0.0 μB per formula unit
1.0
7.2992 0.0000 0.0000
0.0000 4.5749 0.0000
0.0000 0.0000 5.0977
Np U H
4 4 4
direct
0.1592 0.2500 0.1552
0.3408 0.7500 0.6552
0.6592 0.2500 0.3448
0.8408 0.7500 0.8448
0.0151 0.7500 0.2868
0.4849 0.2500 0.7868
0.5151 0.7500 0.2132
0.9849 0.2500 0.7132
0.2452 0.7500 0.0442
0.2548 0.2500 0.5442
0.7452 0.7500 0.4558
0.7548 0.2500 0.9558

Record 8
Li2Ni2Ge | the Alexandria database | PBE | relaxed; DFT total energy = -21.4 eV per cell; offset from the most stable computed form = 0 meV/atom; total moment = 0.0 μB per formula unit; DFT formation energy = -0.280 eV/atom
1.0
3.4669 -1.9971 0.0000
3.4669 1.9971 0.0000
-2.3136 0.0000 4.3186
Li Ni Ge
2 2 1
direct
0.1978 0.1978 0.0935
0.8022 0.8022 0.9065
0.3919 0.3919 0.6755
0.6081 0.6081 0.3245
0.0000 0.0000 0.5000

Record 9
LaSnSeN2 | the Alexandria database | PBE | relaxed; DFT total energy = -26.7 eV per cell; raw formation energy = 469 meV/atom; offset from the most stable computed form = 423 meV/atom; total moment = 0.4 μB per formula unit
1.0
4.3371 0.0000 0.0000
0.0000 4.3371 0.0000
0.0000 0.0000 6.2539
La Sn Se N
1 1 1 2
direct
0.0000 0.0000 0.0000
0.5000 0.5000 0.5000
0.0000 0.0000 0.5000
0.0000 0.5000 0.0000
0.5000 0.0000 0.0000

Record 10
Er3Th2N4 | the Alexandria database | PBE | relaxed; DFT total energy = -74.6 eV per cell; raw formation energy = -1416 meV/atom; total moment = 0.0 μB per formula unit
1.0
5.7775 -1.7447 0.0000
5.7775 1.7447 0.0000
-4.1415 0.0000 7.7047
Er Th N
3 2 4
direct
0.0000 0.0000 0.0000
0.2115 0.2115 0.8197
0.7885 0.7885 0.1803
0.3987 0.3987 0.6075
0.6013 0.6013 0.3925
0.1923 0.1923 0.2813
0.3978 0.3978 0.0965
0.6022 0.6022 0.9035
0.8077 0.8077 0.7187

Record 11
AlW2Cl | the Alexandria database | PBE | relaxed; DFT total energy = -27.6 eV per cell; raw formation energy = 967 meV/atom; offset from the most stable computed form = 733 meV/atom; total moment = 0.0 μB per formula unit
1.0
2.7456 -4.2967 0.0000
2.7456 4.2967 0.0000
0.0000 0.0000 2.7544
Al W Cl
1 2 1
direct
0.0000 0.0000 0.0000
0.0000 0.5000 0.5000
0.5000 0.0000 0.5000
0.5000 0.5000 0.0000

Record 12
AcPr2Eu | the Alexandria database | PBE | relaxed; DFT total energy = -23.8 eV per cell; offset from the most stable computed form = 0 meV/atom; total moment = 7.8 μB per formula unit; DFT formation energy = 0.041 eV/atom
1.0
3.8452 0.0000 0.0000
0.0000 3.8452 0.0000
0.0000 0.0000 10.6897
Ac Pr Eu
1 2 1
direct
0.0000 0.0000 0.0000
0.5000 0.5000 0.2467
0.5000 0.5000 0.7533
0.0000 0.0000 0.5000

Record 13
Cd3Ga2Au3 | the Alexandria database | PBE | relaxed; DFT total energy = -39.9 eV per cell; total moment = 0.0 μB per formula unit; DFT formation energy = -0.166 eV/atom
1.0
1.7813 -6.7090 0.0000
1.7813 6.7090 0.0000
0.0000 0.0000 13.5433
Cd Ga Au
6 4 6
direct
0.0447 0.9553 0.6349
0.0447 0.9553 0.8651
0.3600 0.6400 0.7500
0.6400 0.3600 0.2500
0.9553 0.0447 0.1349
0.9553 0.0447 0.3651
0.2392 0.7608 0.0821
0.2392 0.7608 0.4179
0.7608 0.2392 0.5821
0.7608 0.2392 0.9179
0.3264 0.6736 0.2500
0.4000 0.6000 0.5391
0.4000 0.6000 0.9609
0.6000 0.4000 0.0391
0.6000 0.4000 0.4609
0.6736 0.3264 0.7500

Record 14
Cr5HgS8 | the Alexandria database | PBE | relaxed; DFT total energy = -90.0 eV per cell; raw formation energy = -609 meV/atom; total moment = 14.0 μB per formula unit
1.0
8.9919 -1.7230 0.0000
8.9919 1.7230 0.0000
-2.1976 0.0000 8.3914
Cr Hg S
5 1 8
direct
0.0000 0.0000 0.0000
0.0476 0.0476 0.3647
0.3432 0.3432 0.0272
0.6386 0.6386 0.6898
0.6863 0.6863 0.0545
0.8427 0.8427 0.5273
0.1052 0.1052 0.8725
0.1708 0.1708 0.5377
0.2575 0.2575 0.1984
0.4289 0.4289 0.8560
0.5155 0.5155 0.5168
0.5811 0.5811 0.1820
0.7673 0.7673 0.8752
0.9191 0.9191 0.1792

Record 15
TlCd2GaIr | the Alexandria database | PBE | relaxed; DFT total energy = -16.1 eV per cell; total moment = 0.0 μB per formula unit; DFT formation energy = 0.006 eV/atom
1.0
5.2864 0.0000 0.0000
0.0000 5.2864 0.0000
0.0000 0.0000 4.7859
Tl Cd Ga Ir
1 2 1 1
direct
0.0000 0.0000 0.0000
0.0000 0.5000 0.5000
0.5000 0.0000 0.5000
0.5000 0.5000 0.0000
0.5000 0.5000 0.5000

Record 16
Mo3AsRu | the Alexandria database | PBE | relaxed; DFT total energy = -38.4 eV per cell; offset from the most stable computed form = 222 meV/atom; total moment = 1.4 μB per formula unit; DFT formation energy = 1.609 eV/atom
1.0
4.7028 0.0000 0.0000
0.0000 4.7028 0.0000
0.0000 0.0000 4.7028
Mo As Ru
3 1 1
direct
0.0000 0.0000 0.5000
0.0000 0.5000 0.0000
0.5000 0.0000 0.0000
0.5000 0.5000 0.5000
0.0000 0.0000 0.0000

Record 17
TbPmEr2S4 | the Alexandria database | PBE | relaxed; DFT total energy = -50.9 eV per cell; raw formation energy = -1987 meV/atom; total moment = 0.0 μB per formula unit
1.0
6.7770 0.0000 0.0000
0.0000 3.8754 0.0000
-2.2224 0.0000 6.5020
Tb Pm Er S
1 1 2 4
direct
0.0000 0.0000 0.0000
0.5000 0.5000 0.0000
0.0000 0.5000 0.5000
0.5000 0.0000 0.5000
0.2413 0.0000 0.7369
0.2493 0.5000 0.2598
0.7507 0.5000 0.7402
0.7587 0.0000 0.2631

Record 18
U3Fe4Ge4 | the Alexandria database | PBE | relaxed; DFT total energy = -88.9 eV per cell; total moment = 3.3 μB per formula unit; DFT formation energy = -0.251 eV/atom
1.0
-2.0312 3.2442 6.8895
2.0312 -3.2442 6.8895
2.0312 3.2442 -6.8895
U Fe Ge
3 4 4
direct
0.0000 0.0000 0.0000
0.3620 0.8620 0.5000
0.6380 0.1380 0.5000
0.0341 0.3245 0.7096
0.3851 0.6755 0.7096
0.6149 0.3245 0.2904
0.9659 0.6755 0.2904
0.2060 0.2060 0.0000
0.3042 0.5000 0.8042
0.6958 0.5000 0.1958
0.7940 0.7940 0.0000

Record 19
PrNd4Tm4 | the Alexandria database | PBE | relaxed; DFT total energy = -41.5 eV per cell; total moment = 0.0 μB per formula unit; DFT formation energy = 0.025 eV/atom
1.0
-5.4025 5.4025 2.5455
5.4025 -5.4025 2.5455
5.4025 5.4025 -2.5455
Pr Nd Tm
1 4 4
direct
0.0000 0.0000 0.0000
0.3318 0.3318 0.6636
0.3318 0.6682 0.0000
0.6682 0.3318 0.0000
0.6682 0.6682 0.3364
0.0000 0.3372 0.3372
0.0000 0.6628 0.6628
0.3372 0.0000 0.3372
0.6628 0.0000 0.6628

Record 20
Tm3SiSn2 | the Alexandria database | PBE | relaxed; DFT total energy = -121.5 eV per cell; raw formation energy = -588 meV/atom; total moment = 0.0 μB per formula unit
1.0
12.2024 0.0000 0.0000
0.0000 4.2313 0.0000
0.0000 0.0000 11.6867
Tm Si Sn
12 4 8
direct
0.0554 0.2500 0.1191
0.1148 0.7500 0.5452
0.2445 0.2500 0.7771
0.2555 0.7500 0.2771
0.3852 0.2500 0.0452
0.4446 0.7500 0.6191
0.5554 0.2500 0.3809
0.6148 0.7500 0.9548
0.7445 0.2500 0.7229
0.7555 0.7500 0.2229
0.8852 0.2500 0.4548
0.9446 0.7500 0.8809
0.1236 0.2500 0.3705
0.3764 0.7500 0.8705
0.6236 0.2500 0.1295
0.8764 0.7500 0.6295
0.0096 0.2500 0.7052
0.1892 0.7500 0.9951
0.3108 0.2500 0.4951
0.4904 0.7500 0.2052
0.5096 0.2500 0.7948
0.6892 0.7500 0.5049
0.8108 0.2500 0.0049
0.9904 0.7500 0.2948

Record 21
CeTm3As4 | the Alexandria database | PBE | relaxed; DFT total energy = -49.7 eV per cell; total moment = 0.7 μB per formula unit; DFT formation energy = -1.469 eV/atom
1.0
5.8046 0.0000 0.0000
0.0000 5.8046 0.0000
0.0000 0.0000 5.8046
Ce Tm As
1 3 4
direct
0.0000 0.0000 0.0000
0.0000 0.5000 0.5000
0.5000 0.0000 0.5000
0.5000 0.5000 0.0000
0.0000 0.0000 0.5000
0.0000 0.5000 0.0000
0.5000 0.0000 0.0000
0.5000 0.5000 0.5000

Record 22
DyScPt2 | the Alexandria database | PBE | relaxed; DFT total energy = -27.9 eV per cell; offset from the most stable computed form = 4 meV/atom; total moment = 0.0 μB per formula unit; DFT formation energy = -1.218 eV/atom
1.0
3.6506 0.0000 0.0000
0.0000 4.3952 0.0000
-1.8322 0.0000 5.1530
Dy Sc Pt
1 1 2
direct
0.0000 0.0000 0.0000
0.7224 0.5000 0.4448
0.2704 0.0000 0.5417
0.4477 0.5000 0.8955

Record 23
CaTl2Pb6 | the Alexandria database | PBE | relaxed; DFT total energy = -29.5 eV per cell; total moment = 0.0 μB per formula unit; DFT formation energy = -0.061 eV/atom
1.0
4.4725 -8.6974 0.0000
4.4725 8.6974 0.0000
-0.6852 0.0000 3.6146
Ca Tl Pb
1 2 6
direct
0.0000 0.0000 0.0000
0.1648 0.8352 0.5000
0.8352 0.1648 0.5000
0.1671 0.5019 0.1739
0.3396 0.3396 0.6687
0.4981 0.8329 0.8261
0.5019 0.1671 0.1739
0.6604 0.6604 0.3313
0.8329 0.4981 0.8261